Entry P
NaLi2Cr | PBE-GGA | optimized geometry

Crystal system   tetragonal
Theoretical density   1.628 g/cm³

Cell: 7.709 7.709 6.103 Å, 90.00 90.00 90.00°
Space group I-42d (No. 122)
One atom of each set of equivalent atoms:
Na  0.000  0.000  0.000
Li  0.240  0.250  0.625
Cr  0.000  0.000  0.500


Entry Q
NaLi2Cr | PBE-GGA | optimized geometry

Crystal system   cubic
Theoretical density   1.679 g/cm³

Cell: 7.057 7.057 7.057 Å, 90.00 90.00 90.00°
Space group Fm-3m (No. 225)
One atom of each set of equivalent atoms:
Na  0.000  0.000  0.000
Li  0.250  0.250  0.250
Cr  0.000  0.000  0.500


Of them, the most stable is entry Q and the least stable is entry P.


Entry P
Na3LiCr | PBE-GGA | optimized geometry

Crystal system   cubic
Theoretical density   1.075 g/cm³

Cell: 5.824 5.824 5.824 Å, 90.00 90.00 90.00°
Space group Pm-3m (No. 221)
One atom of each set of equivalent atoms:
Na  0.000  0.000  0.500
Li  0.500  0.500  0.500
Cr  0.000  0.000  0.000


Entry Q
Na3LiCr | PBE-GGA | optimized geometry

Crystal system   cubic
Theoretical density   1.305 g/cm³

Cell: 5.460 5.460 5.460 Å, 90.00 90.00 90.00°
Space group Pm-3m (No. 221)
One atom of each set of equivalent atoms:
Na  0.000  0.000  0.500
Li  0.000  0.000  0.000
Cr  0.500  0.500  0.500


Of them, the most stable is entry P and the least stable is entry Q.


Entry P
LiNbCr3 | PBE-GGA | optimized geometry

Crystal system   cubic
Theoretical density   6.350 g/cm³

Cell: 4.060 4.060 4.060 Å, 90.00 90.00 90.00°
Space group Pm-3m (No. 221)
One atom of each set of equivalent atoms:
Li  0.000  0.000  0.000
Nb  0.500  0.500  0.500
Cr  0.000  0.000  0.500


Entry Q
LiNbCr3 | PBE-GGA | optimized geometry

Crystal system   cubic
Theoretical density   3.834 g/cm³

Cell: 4.803 4.803 4.803 Å, 90.00 90.00 90.00°
Space group Pm-3m (No. 221)
One atom of each set of equivalent atoms:
Li  0.000  0.000  0.000
Nb  0.500  0.500  0.500
Cr  0.000  0.500  0.500


Of them, the most stable is entry P and the least stable is entry Q.


Entry P
LiNb3Cr | PBE-GGA | optimized geometry

Crystal system   cubic
Theoretical density   6.738 g/cm³

Cell: 4.366 4.366 4.366 Å, 90.00 90.00 90.00°
Space group Pm-3m (No. 221)
One atom of each set of equivalent atoms:
Li  0.000  0.000  0.000
Nb  0.000  0.000  0.500
Cr  0.500  0.500  0.500


Entry Q
LiNb3Cr | PBE-GGA | optimized geometry

Crystal system   cubic
Theoretical density   5.584 g/cm³

Cell: 4.648 4.648 4.648 Å, 90.00 90.00 90.00°
Space group Pm-3m (No. 221)
One atom of each set of equivalent atoms:
Li  0.000  0.000  0.000
Nb  0.000  0.500  0.500
Cr  0.500  0.500  0.500


Of them, the most stable is entry Q and the least stable is entry P.